Computed, not measured: a crystal of KSr2AuCl relaxed with PBEsol at the meta-GGA SCAN level of DFT.

Structure (POSCAR):
```
KSr2AuCl
1.0
5.595 0.000 0.000
0.000 5.595 0.000
0.000 0.000 6.350
K Sr Au Cl
1 2 1 1
Cartesian
0.000 0.000 0.000 K
0.000 2.797 3.175 Sr
2.797 0.000 3.175 Sr
2.797 2.797 0.000 Au
2.797 2.797 3.175 Cl
```

symmetry: P4/mmm (123)
raw formation energy: -569.9 meV per atom
DOS(E_F): 0.564 states/eV per atom

---

Computed, not measured: a crystal of K2TlAuCl6 relaxed with PBEsol at the meta-GGA SCAN level of DFT.

Structure (POSCAR):
```
K2TlAuCl6
1.0
0.000 5.203 5.203
5.203 0.000 5.203
5.203 5.203 0.000
K Tl Au Cl
2 1 1 6
Cartesian
2.602 2.602 2.602 K
7.805 7.805 7.805 K
0.000 0.000 0.000 Tl
5.203 5.203 5.203 Au
5.203 5.203 2.677 Cl
5.203 2.677 5.203 Cl
7.730 5.203 5.203 Cl
2.677 5.203 5.203 Cl
5.203 7.730 5.203 Cl
5.203 5.203 7.730 Cl
```

symmetry: Fm-3m (225)
raw formation energy: -1177.7 meV per atom
DOS(E_F): 0.281 states/eV per atom

---

Computed, not measured: a crystal of LaAuCl2 relaxed with PBEsol at the meta-GGA SCAN level of DFT.

Structure (POSCAR):
```
LaAuCl2
1.0
1.782 1.029 9.534
-1.782 1.029 9.534
0.000 -2.057 9.534
La Au Cl
1 1 2
Cartesian
0.000 0.000 0.000 La
0.000 0.000 14.301 Au
0.000 0.000 7.612 Cl
0.000 0.000 20.990 Cl
```

symmetry: R-3m (166)
raw formation energy: -1085.6 meV per atom
DOS(E_F): 0.475 states/eV per atom

---

Computed, not measured: a crystal of LaAuCl2 relaxed with PBEsol at the meta-GGA SCAN level of DFT.

Structure (POSCAR):
```
LaAuCl2
1.0
5.026 -2.050 0.000
5.026 2.050 0.000
-3.266 0.000 5.202
La Au Cl
1 1 2
Cartesian
0.000 0.000 0.000 La
6.025 0.000 1.935 Au
3.020 0.000 0.061 Cl
2.722 0.000 3.555 Cl
```

symmetry: Cm (8)
raw formation energy: -1752.2 meV per atom
DOS(E_F): 0.000 states/eV per atom

---

Computed, not measured: a crystal of La2Au2Cl relaxed with PBEsol at the meta-GGA SCAN level of DFT.

Structure (POSCAR):
```
La2Au2Cl
1.0
-2.738 2.738 4.820
2.738 -2.738 4.820
2.738 2.738 -4.820
La Au Cl
2 2 1
Cartesian
2.738 0.000 2.410 La
0.000 2.738 2.410 La
0.000 0.000 1.290 Au
0.000 0.000 8.349 Au
0.000 0.000 4.820 Cl
```

symmetry: I4/mmm (139)
raw formation energy: -988.7 meV per atom
DOS(E_F): 1.012 states/eV per atom

---

Computed, not measured: a crystal of LaAuCl2 relaxed with PBEsol at the meta-GGA SCAN level of DFT.

Structure (POSCAR):
```
LaAuCl2
1.0
-2.288 2.288 4.123
2.288 -2.288 4.123
2.288 2.288 -4.123
La Au Cl
1 1 2
Cartesian
0.000 0.000 0.000 La
0.000 0.000 4.123 Au
2.288 0.000 2.061 Cl
0.000 2.288 2.061 Cl
```

symmetry: I4/mmm (139)
raw formation energy: -1616.7 meV per atom

---

Computed, not measured: a crystal of LaW2AuCl relaxed with PBEsol at the meta-GGA SCAN level of DFT.

Structure (POSCAR):
```
LaW2AuCl
1.0
4.822 0.000 0.000
0.000 4.822 0.000
0.000 0.000 5.929
La W Au Cl
1 2 1 1
Cartesian
0.000 0.000 0.000 La
0.000 2.411 2.965 W
2.411 0.000 2.965 W
0.000 0.000 2.965 Au
2.411 2.411 0.000 Cl
```

symmetry: P4/mmm (123)
raw formation energy: 1384.9 meV per atom
DOS(E_F): 1.040 states/eV per atom

---

Computed, not measured: a crystal of LiAuCl2 relaxed with PBEsol at the meta-GGA SCAN level of DFT.

Structure (POSCAR):
```
LiAuCl2
1.0
3.667 0.000 0.000
0.000 1.801 6.103
0.000 -1.801 6.103
Li Au Cl
1 1 2
Cartesian
0.000 0.000 0.000 Li
1.833 0.000 8.768 Au
0.000 0.000 2.665 Cl
1.833 0.000 5.878 Cl
```

symmetry: Amm2 (38)
raw formation energy: -839.0 meV per atom
DOS(E_F): 0.149 states/eV per atom

---

Computed, not measured: a crystal of LiAuCl2 relaxed with PBEsol at the meta-GGA SCAN level of DFT.

Structure (POSCAR):
```
LiAuCl2
1.0
1.823 1.053 7.201
-1.823 1.053 7.201
0.000 -2.105 7.201
Li Au Cl
1 1 2
Cartesian
0.000 0.000 0.000 Li
0.000 0.000 10.802 Au
0.000 0.000 8.532 Cl
0.000 0.000 13.072 Cl
```

symmetry: R-3m (166)
raw formation energy: -1111.5 meV per atom
DOS(E_F): 0.000 states/eV per atom

---

Computed, not measured: a crystal of LiAuCl4 relaxed with PBEsol at the meta-GGA SCAN level of DFT.

Structure (POSCAR):
```
LiAuCl4
1.0
0.000 4.060 4.060
4.060 0.000 4.060
4.060 4.060 0.000
Li Au Cl
1 1 4
Cartesian
0.000 0.000 0.000 Li
2.030 2.030 2.030 Au
5.069 3.051 3.051 Cl
3.051 5.069 3.051 Cl
3.051 3.051 5.069 Cl
5.069 5.069 5.069 Cl
```

symmetry: F-43m (216)
raw formation energy: 299.3 meV per atom
DOS(E_F): 0.618 states/eV per atom

---

Computed, not measured: a crystal of LiAuCl2 relaxed with PBEsol at the meta-GGA SCAN level of DFT.

Structure (POSCAR):
```
LiAuCl2
1.0
-1.785 1.785 6.617
1.785 -1.785 6.617
1.785 1.785 -6.617
Li Au Cl
1 1 2
Cartesian
0.000 0.000 0.000 Li
0.000 1.785 3.308 Au
1.785 0.000 3.308 Cl
0.000 0.000 6.617 Cl
```

symmetry: I-4m2 (119)
raw formation energy: -816.0 meV per atom
DOS(E_F): 0.128 states/eV per atom

---

Computed, not measured: a crystal of LiAuCl relaxed with PBEsol at the meta-GGA SCAN level of DFT.

Structure (POSCAR):
```
LiAuCl
1.0
-1.503 1.503 5.606
1.503 -1.503 5.606
1.503 1.503 -5.606
Li Au Cl
1 1 1
Cartesian
0.000 0.000 0.000 Li
0.000 0.000 7.713 Au
0.000 0.000 4.596 Cl
```

symmetry: I4mm (107)
raw formation energy: -695.6 meV per atom
DOS(E_F): 0.232 states/eV per atom

---

Computed, not measured: a crystal of Mg2AuCl2 relaxed with PBEsol at the meta-GGA SCAN level of DFT.

Structure (POSCAR):
```
Mg2AuCl2
1.0
-2.392 2.392 4.640
2.392 -2.392 4.640
2.392 2.392 -4.640
Mg Au Cl
2 1 2
Cartesian
2.392 0.000 2.320 Mg
0.000 2.392 2.320 Mg
0.000 0.000 0.000 Au
0.000 0.000 3.183 Cl
0.000 0.000 6.097 Cl
```

symmetry: I4/mmm (139)
raw formation energy: -691.0 meV per atom
DOS(E_F): 0.340 states/eV per atom

---

Computed, not measured: a crystal of MgP2AuCl relaxed with PBEsol at the meta-GGA SCAN level of DFT.

Structure (POSCAR):
```
MgP2AuCl
1.0
4.739 0.000 0.000
0.000 4.739 0.000
0.000 0.000 5.103
Mg P Au Cl
1 2 1 1
Cartesian
0.000 0.000 0.000 Mg
0.000 2.369 2.551 P
2.369 0.000 2.551 P
2.369 2.369 2.551 Au
2.369 2.369 0.000 Cl
```

symmetry: P4/mmm (123)
raw formation energy: 533.8 meV per atom
DOS(E_F): 0.696 states/eV per atom

---

Computed, not measured: a crystal of Mg2TaAuCl relaxed with PBEsol at the meta-GGA SCAN level of DFT.

Structure (POSCAR):
```
Mg2TaAuCl
1.0
5.079 0.000 0.000
0.000 5.079 0.000
0.000 0.000 5.023
Mg Ta Au Cl
2 1 1 1
Cartesian
0.000 2.539 0.000 Mg
2.539 0.000 0.000 Mg
0.000 0.000 2.511 Ta
0.000 0.000 0.000 Au
2.539 2.539 2.511 Cl
```

symmetry: P4/mmm (123)
raw formation energy: 227.7 meV per atom
DOS(E_F): 0.259 states/eV per atom

---

Computed, not measured: a crystal of Mn2AuCl relaxed with PBEsol at the meta-GGA SCAN level of DFT.

Structure (POSCAR):
```
Mn2AuCl
1.0
1.469 0.848 8.580
-1.469 0.848 8.580
0.000 -1.696 8.580
Mn Au Cl
2 1 1
Cartesian
0.000 0.000 0.000 Mn
0.000 0.000 6.626 Mn
0.000 0.000 19.253 Au
0.000 0.000 13.627 Cl
```

symmetry: R3m (160)
raw formation energy: -240.8 meV per atom
DOS(E_F): 0.725 states/eV per atom

---

Computed, not measured: a crystal of MnAuCl relaxed with PBEsol at the meta-GGA SCAN level of DFT.

Structure (POSCAR):
```
MnAuCl
1.0
3.295 0.000 0.000
-1.647 2.853 0.000
0.000 0.000 6.133
Mn Au Cl
1 1 1
Cartesian
0.000 0.000 0.000 Mn
0.000 1.902 4.362 Au
1.647 0.951 1.561 Cl
```

symmetry: P3m1 (156)
raw formation energy: -653.5 meV per atom
DOS(E_F): 0.201 states/eV per atom

---

Computed, not measured: a crystal of MoAu2Cl relaxed with PBEsol at the meta-GGA SCAN level of DFT.

Structure (POSCAR):
```
MoAu2Cl
1.0
-1.885 1.885 5.047
1.885 -1.885 5.047
1.885 1.885 -5.047
Mo Au Cl
1 2 1
Cartesian
0.000 0.000 0.000 Mo
1.885 0.000 2.524 Au
0.000 1.885 2.524 Au
0.000 0.000 5.047 Cl
```

symmetry: I4/mmm (139)
raw formation energy: 486.7 meV per atom
DOS(E_F): 0.361 states/eV per atom

---

Computed, not measured: a crystal of MoAu2Cl relaxed with PBEsol at the meta-GGA SCAN level of DFT.

Structure (POSCAR):
```
MoAu2Cl
1.0
-1.387 2.130 6.127
1.387 -2.130 6.127
1.387 2.130 -6.127
Mo Au Cl
1 2 1
Cartesian
0.000 0.000 0.000 Mo
1.387 0.000 2.431 Au
0.000 2.130 3.696 Au
0.000 0.000 6.127 Cl
```

symmetry: Immm (71)
raw formation energy: 279.3 meV per atom
DOS(E_F): 0.488 states/eV per atom

---

Computed, not measured: a crystal of Mo2AuCl relaxed with PBEsol at the meta-GGA SCAN level of DFT.

Structure (POSCAR):
```
Mo2AuCl
1.0
1.429 0.825 9.323
-1.429 0.825 9.323
0.000 -1.650 9.323
Mo Au Cl
2 1 1
Cartesian
0.000 0.000 0.000 Mo
0.000 0.000 6.991 Mo
0.000 0.000 14.013 Au
0.000 0.000 20.444 Cl
```

symmetry: R3m (160)
raw formation energy: 194.1 meV per atom
DOS(E_F): 0.851 states/eV per atom

---

Computed, not measured: a crystal of Mo2AuCl relaxed with PBEsol at the meta-GGA SCAN level of DFT.

Structure (POSCAR):
```
Mo2AuCl
1.0
2.731 0.000 0.000
0.000 3.929 0.000
0.000 0.000 5.866
Mo Au Cl
2 1 1
Cartesian
0.000 0.000 1.418 Mo
0.000 0.000 4.448 Mo
1.365 1.965 2.933 Au
0.000 1.965 0.000 Cl
```

symmetry: Pmmm (47)
raw formation energy: 460.4 meV per atom
DOS(E_F): 0.749 states/eV per atom

---

Computed, not measured: a crystal of MoAu2Cl relaxed with PBEsol at the meta-GGA SCAN level of DFT.

Structure (POSCAR):
```
MoAu2Cl
1.0
5.099 0.000 0.000
0.000 5.099 0.000
0.000 0.000 2.699
Mo Au Cl
1 2 1
Cartesian
0.000 0.000 0.000 Mo
0.000 2.549 1.349 Au
2.549 0.000 1.349 Au
2.549 2.549 0.000 Cl
```

symmetry: P4/mmm (123)
raw formation energy: 805.0 meV per atom
DOS(E_F): 0.976 states/eV per atom

---

Computed, not measured: a crystal of MoAuCl relaxed with PBEsol at the meta-GGA SCAN level of DFT.

Structure (POSCAR):
```
MoAuCl
1.0
0.000 3.223 3.223
3.223 0.000 3.223
3.223 3.223 0.000
Mo Au Cl
1 1 1
Cartesian
0.000 0.000 0.000 Mo
1.611 1.611 1.611 Au
3.223 3.223 3.223 Cl
```

symmetry: F-43m (216)
raw formation energy: 1019.7 meV per atom
DOS(E_F): 1.336 states/eV per atom

---

Computed, not measured: a crystal of Mo2AuCl relaxed with PBEsol at the meta-GGA SCAN level of DFT.

Structure (POSCAR):
```
Mo2AuCl
1.0
1.607 -2.348 0.000
1.607 2.348 0.000
0.000 0.000 8.975
Mo Au Cl
2 1 1
Cartesian
0.000 0.000 0.000 Mo
1.607 0.000 1.959 Mo
1.607 0.000 6.704 Au
0.000 0.000 3.940 Cl
```

symmetry: Cmm2 (35)
raw formation energy: 188.2 meV per atom
DOS(E_F): 0.633 states/eV per atom

---

Computed, not measured: a crystal of MoPAuCl2 relaxed with PBEsol at the meta-GGA SCAN level of DFT.

Structure (POSCAR):
```
MoPAuCl2
1.0
4.536 0.000 0.000
0.000 4.536 0.000
0.000 0.000 4.931
Mo P Au Cl
1 1 1 2
Cartesian
0.000 0.000 0.000 Mo
0.000 0.000 2.465 P
2.268 2.268 2.465 Au
0.000 2.268 0.000 Cl
2.268 0.000 0.000 Cl
```

symmetry: P4/mmm (123)
raw formation energy: 322.3 meV per atom
DOS(E_F): 0.722 states/eV per atom

---

Computed, not measured: a crystal of Au2NCl relaxed with PBEsol at the meta-GGA SCAN level of DFT.

Structure (POSCAR):
```
Au2NCl
1.0
0.000 3.129 3.129
3.129 0.000 3.129
3.129 3.129 0.000
Au N Cl
2 1 1
Cartesian
1.564 1.564 1.564 Au
4.693 4.693 4.693 Au
0.000 0.000 0.000 N
3.129 3.129 3.129 Cl
```

symmetry: Fm-3m (225)
raw formation energy: 1431.4 meV per atom
DOS(E_F): 0.106 states/eV per atom

---

Computed, not measured: a crystal of AuN2Cl relaxed with PBEsol at the meta-GGA SCAN level of DFT.

Structure (POSCAR):
```
AuN2Cl
1.0
0.000 2.846 2.846
2.846 0.000 2.846
2.846 2.846 0.000
Au N Cl
1 2 1
Cartesian
0.000 0.000 0.000 Au
1.423 1.423 1.423 N
4.270 4.270 4.270 N
2.846 2.846 2.846 Cl
```

symmetry: Fm-3m (225)
raw formation energy: 2708.8 meV per atom
DOS(E_F): 0.720 states/eV per atom

---

Computed, not measured: a crystal of AuS2NCl relaxed with PBEsol at the meta-GGA SCAN level of DFT.

Structure (POSCAR):
```
AuS2NCl
1.0
3.756 0.000 0.000
0.000 3.756 0.000
0.000 0.000 6.458
Au S N Cl
1 2 1 1
Cartesian
0.000 0.000 0.000 Au
0.000 1.878 3.229 S
1.878 0.000 3.229 S
1.878 1.878 3.229 N
1.878 1.878 0.000 Cl
```

symmetry: P4/mmm (123)
raw formation energy: 1072.6 meV per atom
DOS(E_F): 0.461 states/eV per atom

---

Computed, not measured: a crystal of AuSN2Cl relaxed with PBEsol at the meta-GGA SCAN level of DFT.

Structure (POSCAR):
```
AuSN2Cl
1.0
3.493 0.000 0.000
0.000 3.493 0.000
0.000 0.000 6.583
Au S N Cl
1 1 2 1
Cartesian
0.000 0.000 0.000 Au
1.747 1.747 0.000 S
0.000 1.747 3.292 N
1.747 0.000 3.292 N
1.747 1.747 3.292 Cl
```

symmetry: P4/mmm (123)
raw formation energy: 2234.8 meV per atom
DOS(E_F): 0.732 states/eV per atom

---

Computed, not measured: a crystal of NaAuCl2 relaxed with PBEsol at the meta-GGA SCAN level of DFT.

Structure (POSCAR):
```
NaAuCl2
1.0
-2.758 2.758 6.882
2.758 -2.758 6.882
2.758 2.758 -6.882
Na Au Cl
2 2 4
Cartesian
0.000 0.000 0.000 Na
0.000 2.758 3.441 Na
2.758 0.000 3.441 Au
0.000 0.000 6.882 Au
1.379 -1.242 5.161 Cl
1.517 1.379 1.720 Cl
1.379 4.000 -1.720 Cl
1.242 1.379 8.602 Cl
```

symmetry: I-42d (122)
raw formation energy: -866.2 meV per atom